## Ca2CdGe (GGA-PBE)

Data for Ca2CdGe after structural relaxation.

POSCAR file:
```
Ca2CdGe
1.0
3.678 0.000 0.000
0.000 3.678 0.000
0.000 0.000 7.680
Ca Cd Ge
2 1 1
Cartesian
0.000 0.000 1.808
0.000 0.000 5.871
1.839 1.839 3.840
1.839 1.839 0.000
```

Output
Density   4.2 g cm⁻³
Formation energy from the elements   -462 meV/atom